No. 1
DFT (PBE-GGA) results for crystalline Sr2YPuO6 at its relaxed geometry.

Final energy in eV for the cell shown: -169.46
ρ in Mg/m³: 6.47

Geometry as CIF:
```
data_Sr2YPuO6
_symmetry_space_group_name_H-M 'P 1'
_symmetry_Int_Tables_number 1
_symmetry_space_group_name_Hall 'P 1'
_cell_length_a 5.9699
_cell_length_b 6.1011
_cell_length_c 8.5151
_cell_angle_alpha 90.00
_cell_angle_beta 90.07
_cell_angle_gamma 90.00
loop_
_atom_site_label
_atom_site_fract_x
_atom_site_fract_y
_atom_site_fract_z
Sr1 0.0111 0.9564 0.2506
Sr2 0.5111 0.5436 0.7506
Sr3 0.9889 0.0436 0.7494
Sr4 0.4889 0.4564 0.2494
Y1 0.5000 0.0000 0.0000
Y2 0.0000 0.5000 0.5000
Pu1 0.5000 0.0000 0.5000
Pu2 0.0000 0.5000 0.0000
O1 0.2874 0.6976 0.0497
O2 0.7874 0.8024 0.5497
O3 0.7126 0.3024 0.9503
O4 0.2126 0.1976 0.4503
O5 0.3034 0.7128 0.4456
O6 0.8034 0.7872 0.9456
O7 0.6966 0.2872 0.5544
O8 0.1966 0.2128 0.0544
O9 0.9026 0.5366 0.2422
O10 0.4026 0.9634 0.7422
O11 0.0974 0.4634 0.7578
O12 0.5974 0.0366 0.2578
```

---

No. 2
DFT (PBE-GGA) results for crystalline SrYPuO6 at its relaxed geometry.

Final energy in eV for the cell shown: -156.04
ρ in Mg/m³: 5.74

Geometry as CIF:
```
data_SrYPuO6
_symmetry_space_group_name_H-M 'P 1'
_symmetry_Int_Tables_number 1
_symmetry_space_group_name_Hall 'P 1'
_cell_length_a 5.8091
_cell_length_b 5.8091
_cell_length_c 10.2179
_cell_angle_alpha 90.00
_cell_angle_beta 90.00
_cell_angle_gamma 120.00
loop_
_atom_site_label
_atom_site_fract_x
_atom_site_fract_y
_atom_site_fract_z
Sr1 0.0000 0.0000 0.0000
Sr2 0.0000 0.0000 0.5000
Y1 0.3333 0.6667 0.2500
Y2 0.6667 0.3333 0.7500
Pu1 0.6667 0.3333 0.2500
Pu2 0.3333 0.6667 0.7500
O1 0.6506 0.6172 0.1431
O2 0.9666 0.3494 0.1431
O3 0.3494 0.9666 0.6431
O4 0.0334 0.6506 0.8569
O5 0.3828 0.3494 0.3569
O6 0.9666 0.6172 0.3569
O7 0.6172 0.9666 0.8569
O8 0.6506 0.0334 0.3569
O9 0.0334 0.3828 0.6431
O10 0.3828 0.0334 0.1431
O11 0.6172 0.6506 0.6431
O12 0.3494 0.3828 0.8569
```

---

No. 3
DFT (PBE-GGA) results for crystalline SrPuZnO6 at its relaxed geometry.

Final energy in eV for the cell shown: -131.70
ρ in Mg/m³: 5.96

Geometry as CIF:
```
data_SrPuZnO6
_symmetry_space_group_name_H-M 'P 1'
_symmetry_Int_Tables_number 1
_symmetry_space_group_name_Hall 'P 1'
_cell_length_a 5.4070
_cell_length_b 5.4070
_cell_length_c 10.8592
_cell_angle_alpha 90.00
_cell_angle_beta 90.00
_cell_angle_gamma 120.00
loop_
_atom_site_label
_atom_site_fract_x
_atom_site_fract_y
_atom_site_fract_z
Sr1 0.0000 0.0000 0.0000
Sr2 0.0000 0.0000 0.5000
Pu1 0.3333 0.6667 0.2500
Pu2 0.6667 0.3333 0.7500
Zn1 0.6667 0.3333 0.2500
Zn2 0.3333 0.6667 0.7500
O1 0.6203 0.6398 0.1457
O2 0.0195 0.3797 0.1457
O3 0.3797 0.0195 0.6457
O4 0.9805 0.6203 0.8543
O5 0.3602 0.3797 0.3543
O6 0.0195 0.6398 0.3543
O7 0.6398 0.0195 0.8543
O8 0.6203 0.9805 0.3543
O9 0.9805 0.3602 0.6457
O10 0.3602 0.9805 0.1457
O11 0.6398 0.6203 0.6457
O12 0.3797 0.3602 0.8543
```

---

No. 4
DFT (PBE-GGA) results for crystalline SrPuZn2O6 at its relaxed geometry.

Final energy in eV for the cell shown: -69.58
ρ in Mg/m³: 6.55

Geometry as CIF:
```
data_SrPuZn2O6
_symmetry_space_group_name_H-M 'P 1'
_symmetry_Int_Tables_number 1
_symmetry_space_group_name_Hall 'P 1'
_cell_length_a 5.7871
_cell_length_b 5.6957
_cell_length_c 6.4086
_cell_angle_alpha 61.05
_cell_angle_beta 56.14
_cell_angle_gamma 56.65
loop_
_atom_site_label
_atom_site_fract_x
_atom_site_fract_y
_atom_site_fract_z
Sr1 0.7919 0.8189 0.5710
Pu1 0.3172 0.3192 0.0407
Zn1 0.5143 0.5211 0.3717
Zn2 0.0048 0.0902 0.9145
O1 0.6153 0.2286 0.2213
O2 0.2682 0.9250 0.2407
O3 0.9080 0.5162 0.2865
O4 0.3352 0.7212 0.8395
O5 0.7224 0.1337 0.7912
O6 0.1842 0.3874 0.7382
```

---

No. 5
DFT (PBE-GGA) results for crystalline SrPuZnO5 at its relaxed geometry.

Final energy in eV for the cell shown: -122.96
ρ in Mg/m³: 6.30

Geometry as CIF:
```
data_SrPuZnO5
_symmetry_space_group_name_H-M 'P 1'
_symmetry_Int_Tables_number 1
_symmetry_space_group_name_Hall 'P 1'
_cell_length_a 6.0416
_cell_length_b 6.0416
_cell_length_c 8.0275
_cell_angle_alpha 105.57
_cell_angle_beta 105.57
_cell_angle_gamma 106.24
loop_
_atom_site_label
_atom_site_fract_x
_atom_site_fract_y
_atom_site_fract_z
Sr1 0.3248 0.6752 0.2500
Sr2 0.6752 0.3248 0.7500
Pu1 0.0000 0.0000 0.5000
Pu2 0.0000 0.0000 0.0000
Zn1 0.6939 0.3061 0.2500
Zn2 0.3061 0.6939 0.7500
O1 0.0666 0.9334 0.2500
O2 0.9334 0.0666 0.7500
O3 0.8917 0.2996 0.0928
O4 0.1083 0.7004 0.9072
O5 0.7004 0.1083 0.4072
O6 0.2996 0.8917 0.5928
O7 0.7509 0.6540 0.4013
O8 0.2491 0.3460 0.5987
O9 0.3460 0.2491 0.0987
O10 0.6540 0.7509 0.9013
```

---

No. 6
DFT (PBE-GGA) results for crystalline SrPuZn2O8 at its relaxed geometry.

Final energy in eV for the cell shown: -75.79
ρ in Mg/m³: 5.71

Geometry as CIF:
```
data_SrPuZn2O8
_symmetry_space_group_name_H-M 'P 1'
_symmetry_Int_Tables_number 1
_symmetry_space_group_name_Hall 'P 1'
_cell_length_a 6.0644
_cell_length_b 6.0644
_cell_length_c 6.0644
_cell_angle_alpha 110.38
_cell_angle_beta 110.38
_cell_angle_gamma 107.67
loop_
_atom_site_label
_atom_site_fract_x
_atom_site_fract_y
_atom_site_fract_z
Sr1 0.0000 0.0000 0.0000
Pu1 0.2500 0.7500 0.5000
Zn1 0.7500 0.2500 0.5000
Zn2 0.5000 0.5000 0.0000
O1 0.3766 0.0304 0.3462
O2 0.3050 0.5170 0.2120
O3 0.3050 0.0930 0.7880
O4 0.6843 0.0304 0.6538
O5 0.9070 0.6950 0.2120
O6 0.9696 0.3157 0.3462
O7 0.9696 0.6234 0.6538
O8 0.4830 0.6950 0.7880
```

---

No. 7
DFT (PBE-GGA) results for crystalline Sr3PuZn2O9 at its relaxed geometry.

Final energy in eV for the cell shown: -99.86
ρ in Mg/m³: 6.32

Geometry as CIF:
```
data_Sr3PuZn2O9
_symmetry_space_group_name_H-M 'P 1'
_symmetry_Int_Tables_number 1
_symmetry_space_group_name_Hall 'P 1'
_cell_length_a 5.7199
_cell_length_b 5.7199
_cell_length_c 7.2445
_cell_angle_alpha 90.00
_cell_angle_beta 90.00
_cell_angle_gamma 120.00
loop_
_atom_site_label
_atom_site_fract_x
_atom_site_fract_y
_atom_site_fract_z
Sr1 0.3333 0.6667 0.7192
Sr2 0.0000 0.0000 0.0000
Sr3 0.6667 0.3333 0.2808
Pu1 0.0000 0.0000 0.5000
Zn1 0.3333 0.6667 0.1602
Zn2 0.6667 0.3333 0.8398
O1 0.8368 0.1632 0.6642
O2 0.8368 0.6736 0.6642
O3 0.3264 0.1632 0.6642
O4 0.6736 0.8368 0.3358
O5 0.1632 0.3264 0.3358
O6 0.1632 0.8368 0.3358
O7 0.5000 0.0000 0.0000
O8 0.0000 0.5000 0.0000
O9 0.5000 0.5000 0.0000
```

---

No. 8
DFT (PBE-GGA) results for crystalline SrPu2ZnO8 at its relaxed geometry.

Final energy in eV for the cell shown: -98.25
ρ in Mg/m³: 8.32

Geometry as CIF:
```
data_SrPu2ZnO8
_symmetry_space_group_name_H-M 'P 1'
_symmetry_Int_Tables_number 1
_symmetry_space_group_name_Hall 'P 1'
_cell_length_a 5.4208
_cell_length_b 5.4208
_cell_length_c 6.4795
_cell_angle_alpha 114.73
_cell_angle_beta 114.73
_cell_angle_gamma 90.00
loop_
_atom_site_label
_atom_site_fract_x
_atom_site_fract_y
_atom_site_fract_z
Sr1 0.0000 0.0000 0.0000
Pu1 0.5000 0.5000 0.0000
Pu2 0.2500 0.7500 0.5000
Zn1 0.7500 0.2500 0.5000
O1 0.8560 0.9001 0.2983
O2 0.4423 0.3982 0.2983
O3 0.5738 0.6689 0.7845
O4 0.2107 0.1156 0.7845
O5 0.8844 0.4262 0.2155
O6 0.3311 0.7893 0.2155
O7 0.0999 0.5577 0.7017
O8 0.6018 0.1440 0.7017
```